Entry 1:
A relaxed structure of TbPm3Tm2Bi6, computed with GGA-PBE.

Symmetry = C2/m, No. 12
Total energy = -61.61 eV/cell
Volume = 391 Å³ per cell

Cell lengths 10.093, 10.093, 9.028 Å; angles 102.79, 102.79, 25.87 degrees
Element x y z (fractional)
Tb1 0.000 0.000 0.000
Pm1 0.000 0.000 0.500
Pm2 0.334 0.334 0.167
Pm3 0.666 0.666 0.833
Tm1 0.333 0.333 0.667
Tm2 0.667 0.667 0.333
Bi1 0.166 0.166 0.089
Bi2 0.169 0.169 0.577
Bi3 0.497 0.497 0.753
Bi4 0.503 0.503 0.247
Bi5 0.831 0.831 0.423
Bi6 0.834 0.834 0.911



Entry 2:
A relaxed structure of ZrTi2Be9, computed with GGA-PBE.

Symmetry = R-3m, No. 166
Total energy = -60.63 eV/cell
Volume = 129 Å³ per cell

Cell lengths 7.649, 7.649, 7.649 Å; angles 34.58, 34.58, 34.58 degrees
Element x y z (fractional)
Zr1 0.000 0.000 0.000
Ti1 0.144 0.144 0.144
Ti2 0.856 0.856 0.856
Be1 0.080 0.584 0.584
Be2 0.334 0.334 0.334
Be3 0.416 0.416 0.920
Be4 0.416 0.920 0.416
Be5 0.500 0.500 0.500
Be6 0.584 0.080 0.584
Be7 0.584 0.584 0.080
Be8 0.666 0.666 0.666
Be9 0.920 0.416 0.416



Entry 3:
A relaxed structure of Mn2CdFeH, computed with GGA-PBE.

Symmetry = Cm, No. 8
Total energy = -29.53 eV/cell
Volume = 63 Å³ per cell

Cell lengths 5.463, 5.463, 4.403 Å; angles 92.47, 92.47, 28.51 degrees
Element x y z (fractional)
Mn1 0.000 0.000 0.000
Mn2 0.134 0.134 0.514
Cd1 0.751 0.751 0.020
Fe1 0.402 0.402 0.534
H1 0.534 0.534 0.302



Entry 4:
A relaxed structure of LiCaBi2Pd4, computed with GGA-PBE.

Symmetry = R-3m, No. 166
Total energy = -36.58 eV/cell
Volume = 156 Å³ per cell

Cell lengths 8.452, 8.452, 8.452 Å; angles 32.64, 32.64, 32.64 degrees
Element x y z (fractional)
Li1 0.000 0.000 0.000
Ca1 0.500 0.500 0.500
Bi1 0.254 0.254 0.254
Bi2 0.746 0.746 0.746
Pd1 0.109 0.109 0.109
Pd2 0.372 0.372 0.372
Pd3 0.628 0.628 0.628
Pd4 0.891 0.891 0.891



Entry 5:
A relaxed structure of Pa3Si2Se, computed with GGA-PBE.

Symmetry = C2/m, No. 12
Volume = 288 Å³ per cell
Uncorrected formation energy = -0.716 eV/atom

Cell lengths 7.075, 7.075, 7.042 Å; angles 99.63, 99.63, 119.97 degrees
Element x y z (fractional)
Pa1 0.085 0.413 0.756
Pa2 0.240 0.240 0.240
Pa3 0.413 0.085 0.756
Pa4 0.587 0.915 0.244
Pa5 0.760 0.760 0.760
Pa6 0.915 0.587 0.244
Si1 0.000 0.000 0.500
Si2 0.170 0.830 0.000
Si3 0.500 0.500 0.000
Si4 0.830 0.170 0.000
Se1 0.334 0.666 0.500
Se2 0.666 0.334 0.500



Entry 6:
A relaxed structure of Tl2Hg3Br, computed with GGA-PBE.

Symmetry = C2/m, No. 12
Volume = 390 Å³ per cell
Uncorrected formation energy = -0.235 eV/atom

Cell lengths 8.527, 8.527, 11.358 Å; angles 103.24, 103.24, 29.09 degrees
Element x y z (fractional)
Tl1 0.002 0.002 0.149
Tl2 0.274 0.274 0.191
Tl3 0.726 0.726 0.809
Tl4 0.998 0.998 0.851
Hg1 0.102 0.102 0.632
Hg2 0.194 0.194 0.420
Hg3 0.450 0.450 0.607
Hg4 0.550 0.550 0.393
Hg5 0.806 0.806 0.580
Hg6 0.898 0.898 0.368
Br1 0.368 0.368 0.957
Br2 0.632 0.632 0.043



Number 5 is which compound? Pa3Si2Se



volume of number 2 (ZrTi2Be9)? 129 Å³ per cell



Number 4 is which compound? LiCaBi2Pd4